A plane-wave DFT calculation with PBEsol was carried out for a relaxed structure of HfMgBi2.

```
data_HfMgBi2
_chemical_formula_sum 'Hf4 Mg4 Bi8'
_cell_length_a 6.6648
_cell_length_b 6.6648
_cell_length_c 13.0930
_cell_angle_alpha 90.00
_cell_angle_beta 90.00
_cell_angle_gamma 90.00
_space_group_name_H-M_alt 'I -4 2 d'
_space_group_IT_number 122
_space_group_name_Hall 'I -4 2bw'
loop_
_atom_site_label
_atom_site_type_symbol
_atom_site_fract_x
_atom_site_fract_y
_atom_site_fract_z
Hf1 Hf 0.0000 0.0000 0.0000
Mg1 Mg 0.0000 0.0000 0.5000
Bi1 Bi 0.2394 0.2500 0.1250
```

Values from the calculation:
Magnetization ... 0.00 μB per formula unit
Energy of formation ... 0.233 eV/atom



A plane-wave DFT calculation with PBEsol was carried out for a relaxed structure of ZrScSb2.

```
data_ZrScSb2
_chemical_formula_sum 'Zr1 Sc1 Sb2'
_cell_length_a 3.5077
_cell_length_b 3.8367
_cell_length_c 6.8104
_cell_angle_alpha 90.00
_cell_angle_beta 101.70
_cell_angle_gamma 90.00
_space_group_name_H-M_alt 'P 1 2/m 1'
_space_group_IT_number 10
loop_
_space_group_symop_operation_xyz
'x,y,z'
'-x,-y,-z'
'-x,y,-z'
'x,-y,z'
loop_
_atom_site_label
_atom_site_type_symbol
_atom_site_fract_x
_atom_site_fract_y
_atom_site_fract_z
Zr1 Zr 0.0000 0.0000 0.0000
Sc1 Sc 0.0000 0.0000 0.5000
Sb1 Sb 0.4722 0.5000 0.7561
```

Values from the calculation:
E above lowest polymorph ... 0.1310 eV per atom
Magnetization ... 0.00 μB per formula unit
Formation energy from raw total energies ... -0.676 eV/atom
DOS at the Fermi energy ... 2.5 states/eV per cell



A plane-wave DFT calculation with PBEsol was carried out for a relaxed structure of SnHgAs2Br.

```
data_SnHgAs2Br
_chemical_formula_sum 'Sn1 Hg1 As2 Br1'
_cell_length_a 5.0733
_cell_length_b 5.0733
_cell_length_c 5.5236
_cell_angle_alpha 90.00
_cell_angle_beta 90.00
_cell_angle_gamma 90.00
_space_group_name_H-M_alt 'P 4/m m m'
_space_group_IT_number 123
_space_group_name_Hall '-P 4 2'
loop_
_atom_site_label
_atom_site_type_symbol
_atom_site_fract_x
_atom_site_fract_y
_atom_site_fract_z
Sn1 Sn 0.0000 0.0000 0.0000
Hg1 Hg 0.5000 0.5000 0.5000
As1 As 0.0000 0.5000 0.5000
Br1 Br 0.5000 0.5000 0.0000
```

Values from the calculation:
Magnetization ... 0.43 μB per formula unit
Formation energy from raw total energies ... 0.653 eV/atom
DOS at the Fermi energy ... 5.5 states/eV per cell



Number 1: E -79.44 eV for the cell shown. Number 2: E -27.51 eV for the cell shown. Number 3: E -13.64 eV for the cell shown.